# 1
LiBeSb3: optimized geometry, GGA-PBE.

Calculated values
* total moment: 0.000 μB/atom
* density: 5171 kg/m³
* E above lowest polymorph: 0.4635 eV per atom

Cell: 4.9654 4.9654 4.9654 Å, 90.00 90.00 90.00°
Space group Pm-3m (No. 221)
Inequivalent atoms, fractional coordinates:
Li  0.0000  0.0000  0.0000 [1 per cell]
Be  0.5000  0.5000  0.5000 [1 per cell]
Sb  0.0000  0.0000  0.5000 [3 per cell]

=====

# 2
Y5Se4N: optimized geometry, GGA-PBE.

Calculated values
* total moment: 0.000 μB/atom
* density: 5698 kg/m³
* final energy: -142.75 eV per cell

Cell: 3.9641 3.9641 28.7211 Å, 90.00 90.00 90.00°
Space group I4/mmm (No. 139)
Inequivalent atoms, fractional coordinates:
Y  0.0000  0.0000  0.0000 [2 per cell]
Y  0.0000  0.0000  0.2072 [4 per cell]
Y  0.0000  0.0000  0.4206 [4 per cell]
Se  0.0000  0.0000  0.1000 [4 per cell]
Se  0.0000  0.0000  0.3088 [4 per cell]
N  0.0000  0.0000  0.5000 [2 per cell]